Record 1
Below is crystalline Pm2AlPt6 at its relaxed geometry, with properties calculated at the PBE level.

Computed properties:
Total moment = 0.00 μB/f.u.
Space group = C2/m
Density = 14.558 g/cm³
Uncorrected energy = -0.2405 Ha/atom

a = 5.6547 Å, b = 5.6547 Å, c = 6.2990 Å
α = 102.14°, β = 102.14°, γ = 60.28°
Last column: nearest neighbours and their distance in Å.
Atoms (fractional coordinates):
Pm1 0.1447 0.1447 0.3567  9 Pt 3.00-3.19
Pm2 0.8553 0.8553 0.6433  9 Pt 3.00-3.19
Al1 0.5000 0.5000 0.5000  6 Pt 2.50-2.53
Pt1 0.1090 0.6238 0.1902  1 Al 2.53, 2 Pt 2.76-2.78
Pt2 0.3762 0.8910 0.8098  1 Al 2.53, 2 Pt 2.76-2.78
Pt3 0.3800 0.3800 0.8082  1 Al 2.50, 2 Pt 2.78
Pt4 0.6200 0.6200 0.1918  1 Al 2.50, 2 Pt 2.78
Pt5 0.6238 0.1090 0.1902  1 Al 2.53, 2 Pt 2.76-2.78
Pt6 0.8910 0.3762 0.8098  1 Al 2.53, 2 Pt 2.76-2.78



Record 2
Below is crystalline BePtW at its relaxed geometry, with properties calculated at the PBE level.

Computed properties:
Offset from the most stable computed form = 251 meV/atom
Total moment = 0.00 μB/f.u.
Space group = P1
Density = 15.622 g/cm³

a = 2.7219 Å, b = 4.8498 Å, c = 6.6575 Å
α = 109.87°, β = 93.06°, γ = 91.03°
Last column: nearest neighbours and their distance in Å.
Atoms (fractional coordinates):
Be1 0.0000 0.0000 0.0000  3 Pt 2.30-2.53, 2 W 2.51-2.55
Be2 0.4899 0.7261 0.3939  4 Pt 2.31-2.48, 3 W 2.39-2.52
Pt1 0.0202 0.0463 0.6679  3 Be 2.30-2.40
Pt2 0.9964 0.5273 0.0817  4 Be 2.31-2.53
W1 0.4632 0.5731 0.7181  3 Be 2.51-2.67, 3 W 2.56-2.72, 2 Pt 2.71-2.72
W2 0.5644 0.2147 0.3393  4 Be 2.39-2.55, 1 W 2.56